## KThMoO6 (PBE with a Hubbard U)

Data for a relaxed KThMoO6 crystal.

* magnetic moment: 1.0 μB/cell
* final energy: -64.652 eV per cell
* calculated density: 4.6 g cm⁻³

a b c (Å): 5.5635 5.7967 5.9077
angles (deg): 89.11 61.92 87.81
Closest atoms and distances in Å follow each position.
Space group P1 (No. 1)
Unique sites:
K: 0.0000 0.0000 0.0000  6 O 2.82-2.92
Th: 0.6719 0.4998 0.6556  6 O 2.17-2.36
Mo: 0.3534 0.5007 0.2925  4 O 1.87-1.90
O: 0.0401 0.3036 0.5846  1 Mo 2.14, 1 Th 2.17
O: 0.0470 0.7014 0.3680  1 Mo 1.90
O: 0.3488 0.3228 0.0334  1 Mo 1.87
O: 0.3743 0.6966 0.5858  1 Mo 2.14, 1 Th 2.17
O: 0.5851 0.2991 0.3662  1 Mo 1.90
O: 0.6164 0.6782 0.0343  1 Mo 1.87